[1]
Here is a geometry-optimized GaSiH structure from the Alexandria database. Energies are from PBE-GGA.

```
24
Lattice="4.661 0.000 0.000 0.000 5.269 0.000 0.000 0.000 15.554" Properties=species:S:1:pos:R:3 pbc="T T T"
H 2.947 0.453 6.609
H 2.947 2.181 8.945
H 4.044 3.087 1.168
H 4.044 4.816 14.385
H 1.714 4.816 8.945
H 1.714 3.087 6.609
H 0.616 2.181 14.385
H 0.616 0.453 1.168
Si 2.120 0.485 1.068
Si 2.120 2.149 14.485
Si 0.210 3.119 6.708
Si 0.210 4.783 8.845
Si 2.540 4.783 14.485
Si 2.540 3.119 1.068
Si 4.451 2.149 8.845
Si 4.451 0.485 6.708
Ga 0.710 0.655 4.389
Ga 0.710 1.979 11.165
Ga 1.620 3.289 3.388
Ga 1.620 4.614 12.166
Ga 3.951 4.614 11.165
Ga 3.951 3.289 4.389
Ga 3.040 1.979 12.166
Ga 3.040 0.655 3.388
```

Results
Distance to the lowest polymorph of the same formula   2 kJ/mol of formula units
VASP energy   -3.756 eV/atom
Crystal system   orthorhombic

=====

[2]
Here is a geometry-optimized Ga2SiH structure from the Alexandria database. Energies are from PBE-GGA.

```
4
Lattice="0.000 3.063 3.063 3.063 0.000 3.063 3.063 3.063 0.000" Properties=species:S:1:pos:R:3 pbc="T T T"
H 0.000 0.000 0.000
Si 3.063 3.063 3.063
Ga 1.532 1.532 1.532
Ga 4.595 4.595 4.595
```

Results
Distance to the lowest polymorph of the same formula   77 kJ/mol of formula units
VASP energy   -3.296 eV/atom
Crystal system   cubic

=====

[3]
Here is a geometry-optimized Ga2SiH structure from the Alexandria database. Energies are from PBE-GGA.

```
8
Lattice="4.519 0.000 0.000 0.000 4.519 0.000 2.259 2.259 6.289" Properties=species:S:1:pos:R:3 pbc="T T T"
H 2.259 2.259 0.000
H 2.259 4.519 3.145
Si 0.000 0.000 0.000
Si 4.519 2.259 3.145
Ga 3.007 1.130 1.572
Ga 1.511 3.389 1.572
Ga 3.389 3.771 4.717
Ga 5.648 5.267 4.717
```

Results
Distance to the lowest polymorph of the same formula   40 kJ/mol of formula units
VASP energy   -3.392 eV/atom
Crystal system   tetragonal

=====

[4]
Here is a geometry-optimized GaSiH structure from the Alexandria database. Energies are from PBE-GGA.

```
3
Lattice="-1.559 -1.080 -2.228 3.088 -4.035 -0.205 -1.583 -1.300 1.738" Properties=species:S:1:pos:R:3 pbc="T T T"
Ga 0.165 -3.150 1.412
Si -0.018 -0.015 0.019
H 0.010 -3.177 -0.388
```

Results
Distance to the lowest polymorph of the same formula   71 kJ/mol of formula units
VASP energy   -3.518 eV/atom
Crystal system   orthorhombic

=====

Which formula does entry 1 have? GaSiH

=====

Look up the distance to the lowest polymorph of the same formula of the first one. 2 kJ/mol of formula units